(1)
This record from the Alexandria database describes crystalline Zr3BC at its relaxed geometry. The functional is PBE.

Cell lengths 4.4157, 4.4157, 4.4157 Å; angles 90.00, 90.00, 90.00 degrees
Closest atoms and distances in Å follow each position.
Space group Pm-3m (No. 221)
Unique sites:
Zr (0.0000, 0.0000, 0.5000)  2 C 2.21
B (0.5000, 0.5000, 0.5000)  12 Zr 3.12
C (0.0000, 0.0000, 0.0000)  6 Zr 2.21

Formation energy from the elements in eV per atom: 0.086
E in eV/atom: -8.22


(2)
This record from the Alexandria database describes crystalline Zr2BC at its relaxed geometry. The functional is PBE.

Cell lengths 6.1316, 6.1316, 6.3159 Å; angles 90.00, 90.00, 90.00 degrees
Closest atoms and distances in Å follow each position.
Space group I-42d (No. 122)
Unique sites:
Zr (0.2316, 0.2500, 0.1250)  2 C 2.23, 2 B 2.38
B (0.0000, 0.0000, 0.5000)  4 Zr 2.38
C (0.0000, 0.0000, 0.0000)  4 Zr 2.23

Formation energy from the elements in eV per atom: -0.073
E in eV/atom: -8.32


(3)
This record from the Alexandria database describes crystalline ZrB3C at its relaxed geometry. The functional is PBE.

Cell lengths 4.4599, 4.4599, 4.4599 Å; angles 90.00, 90.00, 90.00 degrees
Closest atoms and distances in Å follow each position.
Space group Pm-3m (No. 221)
Unique sites:
Zr (0.0000, 0.0000, 0.0000)  6 B 2.23
B (0.0000, 0.0000, 0.5000)  2 Zr 2.23
C (0.5000, 0.5000, 0.5000)  12 B 3.15

Formation energy from the elements in eV per atom: 3.171
E in eV/atom: -4.39


(4)
This record from the Alexandria database describes crystalline ZrB3C at its relaxed geometry. The functional is PBE.

Cell lengths 3.6113, 3.6113, 3.6113 Å; angles 90.00, 90.00, 90.00 degrees
Closest atoms and distances in Å follow each position.
Space group Pm-3m (No. 221)
Unique sites:
Zr (0.0000, 0.0000, 0.0000)  12 B 2.55
B (0.0000, 0.5000, 0.5000)  2 C 1.81
C (0.5000, 0.5000, 0.5000)  6 B 1.81

Formation energy from the elements in eV per atom: 1.233
E in eV/atom: -6.33


(5)
This record from the Alexandria database describes crystalline CaB at its relaxed geometry. The functional is PBE.

Cell lengths 7.8047, 5.9718, 7.0740 Å; angles 90.00, 90.00, 90.00 degrees
Closest atoms and distances in Å follow each position.
Space group Pnma (No. 62)
Unique sites:
Ca (0.1148, 0.2500, 0.2115)  2 B 2.64
Ca (0.1951, 0.2500, 0.7155)  6 B 2.61-2.88
B (0.0598, 0.6118, 0.4918)  2 B 1.63-1.65

Formation energy from the elements in eV per atom: -0.102
E in eV/atom: -4.44


(6)
This record from the Alexandria database describes crystalline CaB at its relaxed geometry. The functional is PBE.

Cell lengths 3.8369, 3.8369, 11.4855 Å; angles 90.00, 90.00, 90.00 degrees
Closest atoms and distances in Å follow each position.
Space group I-4m2 (No. 119)
Unique sites:
Ca (0.0000, 0.0000, 0.0000)  8 B 2.82
Ca (0.0000, 0.5000, 0.2500)  4 B 2.84
B (0.0000, 0.0000, 0.4326)  1 B 1.55

Formation energy from the elements in eV per atom: 0.302
E in eV/atom: -4.04


(7)
This record from the Alexandria database describes crystalline CaB at its relaxed geometry. The functional is PBE.

Cell lengths 3.2723, 17.2870, 4.1522 Å; angles 90.00, 90.00, 90.00 degrees
Closest atoms and distances in Å follow each position.
Space group Cmmm (No. 65)
Unique sites:
Ca (0.0000, 0.0000, 0.0000)  4 B 2.64
Ca (0.0000, 0.3433, 0.5000)  7 B 2.71-3.02
B (0.0000, 0.2416, 0.0000)  2 B 1.66
B (0.0000, 0.5000, 0.5000)  6 Ca 2.64-2.71

Formation energy from the elements in eV per atom: 0.170
E in eV/atom: -4.17


(8)
This record from the Alexandria database describes crystalline CaB at its relaxed geometry. The functional is PBE.

Cell lengths 5.5469, 5.5469, 5.5469 Å; angles 90.00, 90.00, 90.00 degrees
Closest atoms and distances in Å follow each position.
Space group Fm-3m (No. 225)
Unique sites:
Ca (0.0000, 0.0000, 0.0000)  6 B 2.77
B (0.0000, 0.0000, 0.5000)  6 Ca 2.77

Formation energy from the elements in eV per atom: 1.024
E in eV/atom: -3.32


(9)
This record from the Alexandria database describes crystalline CaB at its relaxed geometry. The functional is PBE.

Cell lengths 3.2089, 7.0605, 7.1405 Å; angles 90.00, 90.00, 90.00 degrees
Closest atoms and distances in Å follow each position.
Space group Imma (No. 74)
Unique sites:
Ca (0.0000, 0.0000, 0.0000)  6 B 2.67-2.85
B (0.0000, 0.2500, 0.2807)  2 B 1.66

Formation energy from the elements in eV per atom: -0.126
E in eV/atom: -4.47


(10)
This record from the Alexandria database describes crystalline CaB at its relaxed geometry. The functional is PBE.

Cell lengths 10.0759, 3.8548, 3.9688 Å; angles 90.00, 96.58, 90.00 degrees
Closest atoms and distances in Å follow each position.
Space group C2/m (No. 12)
Unique sites:
Ca (0.1373, 0.0000, 0.2202)  5 B 2.70-3.01
B (0.0627, 0.5000, 0.6343)  1 B 1.56

Formation energy from the elements in eV per atom: 0.186
E in eV/atom: -4.15


(11)
This record from the Alexandria database describes crystalline CaB at its relaxed geometry. The functional is PBE.

Cell lengths 4.6778, 4.6778, 5.5181 Å; angles 90.00, 90.00, 120.00 degrees
Closest atoms and distances in Å follow each position.
Space group P6_3/mmc (No. 194)
Unique sites:
Ca (0.3333, 0.6667, 0.2500)  5 B 2.70-2.76
B (0.3333, 0.6667, 0.7500)  5 Ca 2.70-2.76

Formation energy from the elements in eV per atom: 1.265
E in eV/atom: -3.07


(12)
This record from the Alexandria database describes crystalline Ca3B11 at its relaxed geometry. The functional is PBE.

Cell lengths 5.8699, 14.3620, 3.2254 Å; angles 90.00, 90.00, 90.00 degrees
Closest atoms and distances in Å follow each position.
Space group Imm2 (No. 44)
Unique sites:
Ca (0.0000, 0.0000, 0.0000)  16 B 2.41-2.70
Ca (0.0000, 0.2402, 0.9747)  12 B 2.69-2.86
B (0.0000, 0.5000, 0.5685)  8 B 1.88-1.89
B (0.1558, 0.3879, 0.4537)  4 B 1.79-1.89
B (0.1638, 0.5000, 0.0695)  7 B 1.84-2.03
B (0.1959, 0.1123, 0.4671)  3 B 1.79-1.87

Formation energy from the elements in eV per atom: -0.002
E in eV/atom: -5.68


(13)
This record from the Alexandria database describes crystalline CaB at its relaxed geometry. The functional is PBE.

Cell lengths 3.2697, 3.2697, 3.2697 Å; angles 90.00, 90.00, 90.00 degrees
Closest atoms and distances in Å follow each position.
Space group Pm-3m (No. 221)
Unique sites:
Ca (0.0000, 0.0000, 0.0000)  8 B 2.83
B (0.5000, 0.5000, 0.5000)  8 Ca 2.83

Formation energy from the elements in eV per atom: 0.724
E in eV/atom: -3.62


(14)
This record from the Alexandria database describes crystalline CaB at its relaxed geometry. The functional is PBE.

Cell lengths 9.7726, 9.7726, 3.2097 Å; angles 90.00, 90.00, 120.00 degrees
Closest atoms and distances in Å follow each position.
Space group P6_3/mmc (No. 194)
Unique sites:
Ca (0.2140, 0.4280, 0.2500)  6 B 2.69-2.85
B (0.0269, 0.5134, 0.7500)  2 B 1.67

Formation energy from the elements in eV per atom: -0.026
E in eV/atom: -4.37


(15)
This record from the Alexandria database describes crystalline CaB at its relaxed geometry. The functional is PBE.

Cell lengths 3.7094, 13.6504, 3.1973 Å; angles 90.00, 90.00, 90.00 degrees
Closest atoms and distances in Å follow each position.
Space group Cmcm (No. 63)
Unique sites:
Ca (0.0000, 0.1258, 0.2500)  6 B 2.66-2.89
B (0.0000, 0.4865, 0.2500)  2 B 1.64

Formation energy from the elements in eV per atom: -0.140
E in eV/atom: -4.48


(16)
This record from the Alexandria database describes crystalline CaB at its relaxed geometry. The functional is PBE.

Cell lengths 6.0574, 6.0574, 6.0574 Å; angles 90.00, 90.00, 90.00 degrees
Closest atoms and distances in Å follow each position.
Space group F-43m (No. 216)
Unique sites:
Ca (0.0000, 0.0000, 0.0000)  4 B 2.62
B (0.2500, 0.2500, 0.2500)  4 Ca 2.62

Formation energy from the elements in eV per atom: 1.514
E in eV/atom: -2.83


(17)
This record from the Alexandria database describes crystalline CaB at its relaxed geometry. The functional is PBE.

Cell lengths 7.5971, 7.5971, 7.5971 Å; angles 90.00, 90.00, 90.00 degrees
Closest atoms and distances in Å follow each position.
Space group I-43m (No. 217)
Unique sites:
Ca (0.2092, 0.2092, 0.7908)  4 B 2.60-2.75
B (0.0819, 0.0819, 0.0819)  3 B 1.76

Formation energy from the elements in eV per atom: 0.287
E in eV/atom: -4.05


(18)
This record from the Alexandria database describes crystalline CaB at its relaxed geometry. The functional is PBE.

Cell lengths 8.9171, 4.2653, 6.0457 Å; angles 90.00, 129.76, 90.00 degrees
Closest atoms and distances in Å follow each position.
Space group C2/m (No. 12)
Unique sites:
Ca (0.2478, 0.0000, 0.2506)  6 B 2.78-2.89
B (0.0064, 0.5000, 0.1327)  1 B 1.53

Formation energy from the elements in eV per atom: 0.104
E in eV/atom: -4.24


(19)
This record from the Alexandria database describes crystalline CaB at its relaxed geometry. The functional is PBE.

Cell lengths 3.2036, 4.0370, 7.1960 Å; angles 99.81, 97.67, 113.00 degrees
Closest atoms and distances in Å follow each position.
Space group P-1 (No. 2)
Unique sites:
Ca (0.2055, 0.1188, 0.2528)  4 B 2.67-2.81
B (0.2687, 0.5379, 0.9995)  2 B 1.63

Formation energy from the elements in eV per atom: -0.101
E in eV/atom: -4.44


(20)
This record from the Alexandria database describes crystalline CaB at its relaxed geometry. The functional is PBE.

Cell lengths 10.4388, 10.4388, 3.2112 Å; angles 90.00, 90.00, 90.00 degrees
Closest atoms and distances in Å follow each position.
Space group P4/mmm (No. 123)
Unique sites:
Ca (0.0000, 0.3193, 0.0000)  6 B 2.67-2.89
Ca (0.3372, 0.3372, 0.5000)  6 B 2.66-2.85
B (0.1417, 0.5000, 0.5000)  2 B 1.66
B (0.1808, 0.5000, 0.0000)  2 B 1.66

Formation energy from the elements in eV per atom: -0.044
E in eV/atom: -4.38